VASP calculation (PBE) on an optimized crystal structure of NaSeBr2O.

POSCAR file:
```
NaSeBr2O
1.0
5.575 0.000 0.000
0.000 5.575 0.000
0.000 0.000 5.836
Na Se Br O
1 1 2 1
direct
0.000 0.000 0.000
0.000 0.000 0.500
0.000 0.500 0.000
0.500 0.000 0.000
0.500 0.500 0.500
```

Properties
Energy relative to the lowest polymorph listed for this composition = 0.7229 eV per atom
SG = No. 123
Formation energy (no corrections) = 310 kJ/mol of formula units